Y2MgIr9 PBE-GGA optimized geometry; density = 15.1 g cm⁻³; formation energy from the elements = -370 meV per atom; total magnetic moment = 0.00 μB/cell; VASP energy = -8.226 eV per atom; SG = No. 166
1.0
2.636 1.522 8.812
-2.636 1.522 8.812
0.000 -3.043 8.812
Y Mg Ir
2 1 9
direct
0.137 0.137 0.137 Y
0.863 0.863 0.863 Y
0.000 0.000 0.000 Mg
0.083 0.582 0.582 Ir
0.333 0.333 0.333 Ir
0.418 0.418 0.917 Ir
0.418 0.917 0.418 Ir
0.500 0.500 0.500 Ir
0.582 0.083 0.582 Ir
0.582 0.582 0.083 Ir
0.667 0.667 0.667 Ir
0.917 0.418 0.418 Ir